The following is a PBE calculation of BaIn2SnHg4 after structural relaxation, from the Alexandria database.

For the final energy, the calculation gives -1.778 eV per atom. As for the mass density: 9.2 g/cm³. As for the energy of formation from the pure elements: -0.20 eV/atom.

It has space group R-3m (No. 166, hexagonal axes), with a = 5.2284 Å, b = 5.2284 Å, c = 29.5031 Å, α = 90.00°, β = 90.00° and γ = 120.00°. The asymmetric unit holds Ba at (0.0000, 0.0000, 0.0000), In at (0.0000, 0.0000, 0.2374), Sn at (0.0000, 0.0000, 0.5000), Hg at (0.0000, 0.0000, 0.1268) and Hg at (0.0000, 0.0000, 0.3926).